No. 1
# CeHfMgAl | Alexandria via LeMat-Bulk | GGA-PBE | optimized geometry
data_CeHfMgAl
_symmetry_space_group_name_H-M 'P 1'
_symmetry_Int_Tables_number 1
_cell_length_a 5.0290
_cell_length_b 5.0290
_cell_length_c 5.0290
_cell_angle_alpha 60.00
_cell_angle_beta 60.00
_cell_angle_gamma 60.00
loop_
_symmetry_equiv_pos_as_xyz
'x,y,z'
loop_
_atom_site_label
_atom_site_fract_x
_atom_site_fract_y
_atom_site_fract_z
_atom_site_occupancy
Ce1 0.0000 0.0000 0.0000 1
Hf1 0.5000 0.5000 0.5000 1
Mg1 0.7500 0.7500 0.7500 1
Al1 0.2500 0.2500 0.2500 1
# Density of states at the Fermi level (states/eV per atom): 1.677
# Electronic total energy (Ha/atom): -0.1965
# Theoretical density (g/cm3): 6.8
# Size of the total moment (Bohr magnetons per cell): 0.86

***

No. 2
# TaPbAu2 | Alexandria via LeMat-Bulk | GGA-PBE | optimized geometry
data_TaPbAu2
_symmetry_space_group_name_H-M 'P 1'
_symmetry_Int_Tables_number 1
_cell_length_a 9.9139
_cell_length_b 9.9139
_cell_length_c 9.9139
_cell_angle_alpha 18.36
_cell_angle_beta 18.36
_cell_angle_gamma 18.36
loop_
_symmetry_equiv_pos_as_xyz
'x,y,z'
loop_
_atom_site_label
_atom_site_fract_x
_atom_site_fract_y
_atom_site_fract_z
_atom_site_occupancy
Ta1 0.0000 0.0000 0.0000 1
Pb1 0.5000 0.5000 0.5000 1
Au1 0.2591 0.2591 0.2591 1
Au2 0.7409 0.7409 0.7409 1
# Density of states at the Fermi level (states/eV per atom): 0.847
# Electronic total energy (Ha/atom): -0.1980
# Theoretical density (g/cm3): 15.4
# Size of the total moment (Bohr magnetons per cell): 0.00

***

No. 3
# Tb2PrSm3P6 | Alexandria via LeMat-Bulk | GGA-PBE | optimized geometry
data_Tb2PrSm3P6
_symmetry_space_group_name_H-M 'P 1'
_symmetry_Int_Tables_number 1
_cell_length_a 7.0977
_cell_length_b 7.0977
_cell_length_c 7.0994
_cell_angle_alpha 99.59
_cell_angle_beta 99.59
_cell_angle_gamma 119.99
loop_
_symmetry_equiv_pos_as_xyz
'x,y,z'
loop_
_atom_site_label
_atom_site_fract_x
_atom_site_fract_y
_atom_site_fract_z
_atom_site_occupancy
Tb1 0.1670 0.8330 0.0000 1
Tb2 0.8330 0.1670 0.0000 1
Pr1 0.5000 0.5000 0.0000 1
Sm1 0.0000 0.0000 0.5000 1
Sm2 0.3343 0.6657 0.5000 1
Sm3 0.6657 0.3343 0.5000 1
P1 0.0781 0.4170 0.7511 1
P2 0.2438 0.2438 0.2482 1
P3 0.4170 0.0781 0.7511 1
P4 0.5830 0.9219 0.2489 1
P5 0.7562 0.7562 0.7518 1
P6 0.9219 0.5830 0.2489 1
# Density of states at the Fermi level (states/eV per atom): 0.123
# Electronic total energy (Ha/atom): -0.2434
# Theoretical density (g/cm3): 6.2
# Size of the total moment (Bohr magnetons per cell): 0.00

***

No. 4
# Al2SiBr | Alexandria via LeMat-Bulk | GGA-PBE | optimized geometry
data_Al2SiBr
_symmetry_space_group_name_H-M 'P 1'
_symmetry_Int_Tables_number 1
_cell_length_a 6.8236
_cell_length_b 6.8236
_cell_length_c 6.8236
_cell_angle_alpha 33.48
_cell_angle_beta 33.48
_cell_angle_gamma 33.48
loop_
_symmetry_equiv_pos_as_xyz
'x,y,z'
loop_
_atom_site_label
_atom_site_fract_x
_atom_site_fract_y
_atom_site_fract_z
_atom_site_occupancy
Al1 0.2254 0.2254 0.2254 1
Al2 0.7746 0.7746 0.7746 1
Si1 0.5000 0.5000 0.5000 1
Br1 0.0000 0.0000 0.0000 1
# Density of states at the Fermi level (states/eV per atom): 0.203
# Energy relative to the lowest polymorph listed for this composition (meV per atom): 0
# Raw formation energy (meV/atom): -36
# Theoretical density (g/cm3): 3.1
# Size of the total moment (Bohr magnetons per cell): 0.00

***

No. 5
# Sr2PaH2O6 | Alexandria via LeMat-Bulk | GGA-PBE | optimized geometry
data_Sr2PaH2O6
_symmetry_space_group_name_H-M 'P 1'
_symmetry_Int_Tables_number 1
_cell_length_a 6.4107
_cell_length_b 6.4107
_cell_length_c 6.4107
_cell_angle_alpha 49.17
_cell_angle_beta 49.17
_cell_angle_gamma 49.17
loop_
_symmetry_equiv_pos_as_xyz
'x,y,z'
loop_
_atom_site_label
_atom_site_fract_x
_atom_site_fract_y
_atom_site_fract_z
_atom_site_occupancy
Sr1 0.2158 0.2158 0.2158 1
Sr2 0.7842 0.7842 0.7842 1
Pa1 0.0000 0.0000 0.0000 1
H1 0.4172 0.4172 0.4172 1
H2 0.5828 0.5828 0.5828 1
O1 0.2586 0.2586 0.7305 1
O2 0.2586 0.7305 0.2586 1
O3 0.2695 0.7414 0.7414 1
O4 0.7305 0.2586 0.2586 1
O5 0.7414 0.2695 0.7414 1
O6 0.7414 0.7414 0.2695 1
# Density of states at the Fermi level (states/eV per atom): 0.376
# Electronic total energy (Ha/atom): -0.2437
# Theoretical density (g/cm3): 6.0
# Size of the total moment (Bohr magnetons per cell): 0.00

***

No. 6
# Zn2PtAu | Alexandria via LeMat-Bulk | GGA-PBE | optimized geometry
data_Zn2PtAu
_symmetry_space_group_name_H-M 'P 1'
_symmetry_Int_Tables_number 1
_cell_length_a 4.5403
_cell_length_b 4.5403
_cell_length_c 5.1081
_cell_angle_alpha 101.38
_cell_angle_beta 101.38
_cell_angle_gamma 37.94
loop_
_symmetry_equiv_pos_as_xyz
'x,y,z'
loop_
_atom_site_label
_atom_site_fract_x
_atom_site_fract_y
_atom_site_fract_z
_atom_site_occupancy
Zn1 0.2464 0.2464 0.2363 1
Zn2 0.7536 0.7536 0.7637 1
Pt1 0.5000 0.5000 0.0000 1
Au1 0.0000 0.0000 0.5000 1
# Density of states at the Fermi level (states/eV per atom): 0.267
# Electronic total energy (Ha/atom): -0.1193
# Theoretical density (g/cm3): 13.7
# Size of the total moment (Bohr magnetons per cell): 0.00